No. 1
Entry from Alexandria via LeMat-Bulk: Ca2TbPr after structural relaxation (PBE).

Its density of states at the Fermi level is 6.6 states/eV/cell. Its total energy is -12.857 eV/cell. The energy of formation comes out at 0.14 eV per atom.

It has space group P4/mmm (No. 123), with a = 5.111 Å, b = 5.111 Å, c = 5.626 Å, α = 90.00°, β = 90.00° and γ = 90.00°. The asymmetric unit holds Ca at (0.000, 0.500, 0.000), Tb at (0.000, 0.000, 0.500) and Pr at (0.500, 0.500, 0.500).

No. 2
Entry from Alexandria via LeMat-Bulk: Ca2TbPr after structural relaxation (PBE).

Its density of states at the Fermi level is 5.8 states/eV/cell. Its total energy is -12.851 eV/cell. The energy of formation comes out at 0.14 eV per atom.

It has space group P4/mmm (No. 123), with a = 4.184 Å, b = 4.184 Å, c = 8.413 Å, α = 90.00°, β = 90.00° and γ = 90.00°. The asymmetric unit holds Ca at (0.000, 0.000, 0.243), Tb at (0.500, 0.500, 0.000) and Pr at (0.500, 0.500, 0.500).

No. 3
Entry from Alexandria via LeMat-Bulk: CaTb3Pr8 after structural relaxation (PBE).

Its density of states at the Fermi level is 40.6 states/eV/cell. Its total energy is -104.772 eV/cell. The energy of formation comes out at 0.15 eV per atom.

It has space group Cm (No. 8), with a = 18.776 Å, b = 3.568 Å, c = 13.339 Å, α = 90.00°, β = 104.76° and γ = 90.00°. The asymmetric unit holds Ca at (0.000, 0.000, 0.000), Tb at (0.140, 0.500, 0.649), Tb at (0.328, 0.500, 0.097), Tb at (0.471, 0.000, 0.738), Pr at (0.149, 0.000, 0.414), Pr at (0.160, 0.500, 0.912), Pr at (0.163, 0.500, 0.178), Pr at (0.314, 0.500, 0.570), Pr at (0.317, 0.500, 0.826), Pr at (0.323, 0.000, 0.332), Pr at (0.484, 0.500, 0.498) and Pr at (0.489, 0.000, 0.254).